Material: PmAl2Os
Method: DFT, PBE-GGA
State: relaxed

Output
Volume, Å³ per atom: 20.5
Space-group type: R-3m, No. 166
E, eV per atom: -6.268
Energy above the lowest structure with this stoichiometry, meV per atom: 0
Density of states at the Fermi level, states/eV per cell: 1.93
Energy of formation, eV/atom: -0.401
Total magnetic moment, μB/cell: 0.0

abc: 5.7515 5.7515 5.7515
angles: 43.57 43.57 43.57
With the nearest neighbours (Å) after each atom.
Atoms (fractional coordinates):
1 Pm 0.0000 0.0000 0.0000  8 Al 3.17-3.21
2 Al 0.2058 0.2058 0.2058  3 Os 2.54, 3 Al 2.75
3 Al 0.7942 0.7942 0.7942  3 Os 2.54, 3 Al 2.75
4 Os 0.5000 0.5000 0.5000  6 Al 2.54